The following is a PBE calculation of crystalline PmHoW at its relaxed geometry, from OQMD.

The total energy comes out at -6.581 eV per atom. The formation energy is 0.85 eV/atom. The magnetization is 0.0 μB/f.u.

The space group is F-43m (No. 216) and the conventional cell measures 6.9268, 6.9268 and 6.9268 Å, with angles of 90.00, 90.00 and 90.00 degrees. The distinct sites, in fractional coordinates, are Pm at (0.0000, 0.0000, 0.0000), Ho at (0.0000, 0.0000, 0.5000) and W at (0.2500, 0.2500, 0.7500).